(1)
Here is a relaxed structure of GeBiAsBr2 from Alexandria via LeMat-Bulk. Energies are from GGA-PBE.

```
GeBiAsBr2
1.0
5.1286 0.0000 0.0000
0.0000 5.1286 0.0000
0.0000 0.0000 5.3976
Ge Bi As Br
1 1 1 2
Direct
0.0000 0.0000 0.0000 Ge
0.5000 0.5000 0.5000 Bi
0.0000 0.0000 0.5000 As
0.0000 0.5000 0.0000 Br
0.5000 0.0000 0.0000 Br
```

Relative energy among the computed polymorphs ... 0 meV per atom
Formation energy without anion corrections ... 107.4 kJ/mol of formula units
Total magnetic moment ... 0.2 μB per cell

=====

(2)
Here is a relaxed structure of Ba4ZrPt from Alexandria via LeMat-Bulk. Energies are from GGA-PBE.

```
Ba4ZrPt
1.0
0.0000 4.9227 4.9227
4.9227 0.0000 4.9227
4.9227 4.9227 0.0000
Ba Zr Pt
4 1 1
Direct
0.1244 0.1244 0.1244 Ba
0.1244 0.1244 0.6268 Ba
0.1244 0.6268 0.1244 Ba
0.6268 0.1244 0.1244 Ba
0.5000 0.5000 0.5000 Zr
0.7500 0.7500 0.7500 Pt
```

Energy of formation from the pure elements ... 0.90 eV/atom
Total magnetic moment ... 4.4 μB per cell

=====

(3)
Here is a relaxed structure of DyTmSc2Se6 from Alexandria via LeMat-Bulk. Energies are from GGA-PBE.

```
DyTmSc2Se6
1.0
3.4858 2.0125 6.2844
-3.4858 2.0125 6.2844
0.0000 -4.0250 6.2844
Dy Tm Sc Se
1 1 2 6
Direct
0.0000 0.0000 0.0000 Dy
0.5017 0.5017 0.5017 Tm
0.1932 0.1932 0.1932 Sc
0.6942 0.6942 0.6942 Sc
0.0815 0.4222 0.8031 Se
0.3086 0.9211 0.5759 Se
0.4222 0.8031 0.0815 Se
0.5759 0.3086 0.9211 Se
0.8031 0.0815 0.4222 Se
0.9211 0.5759 0.3086 Se
```

Formation energy without anion corrections ... -1686.5 kJ/mol of formula units
Total magnetic moment ... 0.0 μB per cell

=====

(4)
Here is a relaxed structure of In2CuCl4 from Alexandria via LeMat-Bulk. Energies are from GGA-PBE.

```
In2CuCl4
1.0
-2.3394 2.3394 8.1953
2.3394 -2.3394 8.1953
2.3394 2.3394 -8.1953
In Cu Cl
2 1 4
Direct
0.1490 0.1490 0.0000 In
0.8510 0.8510 0.0000 In
0.5000 0.5000 0.0000 Cu
0.0000 0.5000 0.5000 Cl
0.3314 0.3314 0.0000 Cl
0.5000 0.0000 0.5000 Cl
0.6686 0.6686 0.0000 Cl
```

Formation energy without anion corrections ... -447.5 kJ/mol of formula units
Total magnetic moment ... 0.0 μB per cell

=====

(5)
Here is a relaxed structure of Pr2Al3Zn4Hg from Alexandria via LeMat-Bulk. Energies are from GGA-PBE.

```
Pr2Al3Zn4Hg
1.0
4.3371 0.0000 0.0000
0.0000 4.3371 0.0000
0.0000 0.0000 10.8376
Pr Al Zn Hg
2 3 4 1
Direct
0.0000 0.5000 0.2408 Pr
0.5000 0.0000 0.7592 Pr
0.0000 0.5000 0.8721 Al
0.5000 0.0000 0.1279 Al
0.5000 0.5000 0.5000 Al
0.0000 0.0000 0.0000 Zn
0.0000 0.5000 0.6440 Zn
0.5000 0.0000 0.3560 Zn
0.5000 0.5000 0.0000 Zn
0.0000 0.0000 0.5000 Hg
```

Energy of formation from the pure elements ... -0.37 eV/atom
Total magnetic moment ... 0.0 μB per cell

=====

(6)
Here is a relaxed structure of TbPaBe17 from Alexandria via LeMat-Bulk. Energies are from GGA-PBE.

```
TbPaBe17
1.0
3.8698 2.2342 3.7804
-3.8698 2.2342 3.7804
0.0000 -4.4684 3.7804
Tb Pa Be
1 1 17
Direct
0.0000 0.0000 0.0000 Tb
0.6789 0.6789 0.6789 Pa
0.0021 0.0021 0.4947 Be
0.0021 0.4948 0.0021 Be
0.0611 0.3391 0.6158 Be
0.0611 0.6158 0.3391 Be
0.1816 0.6764 0.6764 Be
0.2452 0.2452 0.2452 Be
0.3391 0.0611 0.6158 Be
0.3391 0.6158 0.0611 Be
0.3410 0.3410 0.8372 Be
0.3410 0.8372 0.3410 Be
0.4344 0.4344 0.4344 Be
0.4947 0.0021 0.0021 Be
0.6158 0.0611 0.3391 Be
0.6158 0.3391 0.0611 Be
0.6764 0.1816 0.6764 Be
0.6764 0.6764 0.1816 Be
0.8372 0.3410 0.3410 Be
```

Energy of formation from the pure elements ... -0.11 eV/atom
Total magnetic moment ... 0.0 μB per cell